No. 1
VASP calculation (PBE) on Tl2HCl3 after structural relaxation.

a b c (Å): 6.245 6.430 10.021
angles (deg): 93.17 107.77 92.50
Space group P-1 (No. 2)
Asymmetric unit:
Tl  0.084  0.272  0.383 x2
Tl  0.233  0.260  0.954 x2
H  0.353  0.655  0.318 x2
Cl  0.132  0.796  0.356 x2
Cl  0.170  0.759  0.925 x2
Cl  0.492  0.479  0.708 x2

DOS at the Fermi energy in states/eV/f.u.: 0.00
Uncorrected energy in eV/atom: -3.11
Total magnetic moment in μB per formula unit: 0.00
Volume in Å³/cell: 382
Calculated density in Mg/m³: 4.489


No. 2
VASP calculation (PBE) on Tl3HCl after structural relaxation.

a b c (Å): 5.086 5.086 5.086
angles (deg): 90.00 90.00 90.00
Space group Pm-3m (No. 221)
Asymmetric unit:
Tl  0.000  0.000  0.500 x3
H  0.000  0.000  0.000 x1
Cl  0.500  0.500  0.500 x1

DOS at the Fermi energy in states/eV/f.u.: 3.25
Total magnetic moment in μB per formula unit: 0.00
Volume in Å³/cell: 132
Calculated density in Mg/m³: 8.202
Polymorph energy (0 for the lowest one) in meV/atom: 0


No. 3
VASP calculation (PBE) on Tl3HCl6 after structural relaxation.

a b c (Å): 12.293 15.171 7.293
angles (deg): 90.00 90.00 90.00
Space group Cmc2_1 (No. 36)
Asymmetric unit:
Tl  0.000  0.160  0.000 x4
Tl  0.219  0.388  0.008 x8
H  0.000  0.374  0.518 x4
Cl  0.000  0.300  0.795 x4
Cl  0.000  0.441  0.406 x4
Cl  0.145  0.218  0.228 x8
Cl  0.146  0.061  0.857 x8

DOS at the Fermi energy in states/eV/f.u.: 0.00
Uncorrected energy in eV/atom: -2.93
Total magnetic moment in μB per formula unit: 0.00
Volume in Å³/cell: 1360
Calculated density in Mg/m³: 4.038